# La2NdDyS4 PBE relaxed
data_La2NdDyS4
_chemical_formula_sum 'La2 Nd1 Dy1 S4'
_symmetry_space_group_name_H-M 'P 1'
_symmetry_Int_Tables_number 1
_symmetry_space_group_name_Hall 'P 1'
_cell_length_a 7.061
_cell_length_b 4.039
_cell_length_c 7.089
_cell_angle_alpha 90.00
_cell_angle_beta 109.12
_cell_angle_gamma 90.00
loop_
_atom_site_label
_atom_site_type_symbol
_atom_site_fract_x
_atom_site_fract_y
_atom_site_fract_z
La1 La 0.000 0.000 0.000
La2 La 0.500 0.500 0.000
Nd1 Nd 0.000 0.500 0.500
Dy1 Dy 0.500 0.000 0.500
S1 S 0.254 0.000 0.739
S2 S 0.263 0.500 0.266
S3 S 0.737 0.500 0.734
S4 S 0.746 0.000 0.261
# V: 191 Å³/cell
# Raw formation energy: -2088 meV/atom
# Energy: -6.5548 eV per atom
# Crystal system: monoclinic
# SG: P2/m

---

# SrSc2Os PBE relaxed
data_SrSc2Os
_chemical_formula_sum 'Sr1 Sc2 Os1'
_symmetry_space_group_name_H-M 'P 1'
_symmetry_Int_Tables_number 1
_symmetry_space_group_name_Hall 'P 1'
_cell_length_a 5.014
_cell_length_b 5.014
_cell_length_c 5.014
_cell_angle_alpha 60.00
_cell_angle_beta 60.00
_cell_angle_gamma 60.00
loop_
_atom_site_label
_atom_site_type_symbol
_atom_site_fract_x
_atom_site_fract_y
_atom_site_fract_z
Sr1 Sr 0.000 0.000 0.000
Sc1 Sc 0.250 0.250 0.250
Sc2 Sc 0.500 0.500 0.500
Os1 Os 0.750 0.750 0.750
# V: 89 Å³/cell
# DFT formation energy: 0.44 eV per atom
# Distance to the lowest polymorph of the same formula: 55.82 kJ/mol of atoms
# Energy: -5.9564 eV per atom
# Crystal system: cubic
# SG: F-43m

---

# TbAl2Co PBE relaxed
data_TbAl2Co
_chemical_formula_sum 'Tb1 Al2 Co1'
_symmetry_space_group_name_H-M 'P 1'
_symmetry_Int_Tables_number 1
_symmetry_space_group_name_Hall 'P 1'
_cell_length_a 8.677
_cell_length_b 8.677
_cell_length_c 8.677
_cell_angle_alpha 21.13
_cell_angle_beta 21.13
_cell_angle_gamma 21.13
loop_
_atom_site_label
_atom_site_type_symbol
_atom_site_fract_x
_atom_site_fract_y
_atom_site_fract_z
Tb1 Tb 0.000 0.000 0.000
Al1 Al 0.230 0.230 0.230
Al2 Al 0.770 0.770 0.770
Co1 Co 0.500 0.500 0.500
# V: 74 Å³/cell
# DFT formation energy: 0.01 eV per atom
# Energy: -4.7911 eV per atom
# Crystal system: trigonal
# SG: R-3m

---

# Ba3Se PBE relaxed
data_Ba3Se
_chemical_formula_sum 'Ba3 Se1'
_symmetry_space_group_name_H-M 'P 1'
_symmetry_Int_Tables_number 1
_symmetry_space_group_name_Hall 'P 1'
_cell_length_a 4.132
_cell_length_b 4.132
_cell_length_c 11.339
_cell_angle_alpha 90.00
_cell_angle_beta 90.00
_cell_angle_gamma 90.11
loop_
_atom_site_label
_atom_site_type_symbol
_atom_site_fract_x
_atom_site_fract_y
_atom_site_fract_z
Ba1 Ba 0.000 0.000 0.000
Ba2 Ba 0.500 0.500 0.334
Ba3 Ba 0.500 0.500 0.666
Se1 Se 0.000 0.000 0.500
# V: 194 Å³/cell
# Raw formation energy: -836 meV/atom
# Distance to the lowest polymorph of the same formula: 8.42 kJ/mol of atoms
# Energy: -3.1496 eV per atom
# Crystal system: orthorhombic
# SG: Cmmm

---

# Ni2TePd9 PBE relaxed
data_Ni2TePd9
_chemical_formula_sum 'Ni2 Te1 Pd9'
_symmetry_space_group_name_H-M 'P 1'
_symmetry_Int_Tables_number 1
_symmetry_space_group_name_Hall 'P 1'
_cell_length_a 3.951
_cell_length_b 3.951
_cell_length_c 11.785
_cell_angle_alpha 90.00
_cell_angle_beta 90.00
_cell_angle_gamma 90.00
loop_
_atom_site_label
_atom_site_type_symbol
_atom_site_fract_x
_atom_site_fract_y
_atom_site_fract_z
Ni1 Ni 0.000 0.000 0.156
Ni2 Ni 0.000 0.000 0.844
Te1 Te 0.000 0.000 0.500
Pd1 Pd 0.000 0.500 0.000
Pd2 Pd 0.000 0.500 0.320
Pd3 Pd 0.000 0.500 0.680
Pd4 Pd 0.500 0.000 0.000
Pd5 Pd 0.500 0.000 0.320
Pd6 Pd 0.500 0.000 0.680
Pd7 Pd 0.500 0.500 0.160
Pd8 Pd 0.500 0.500 0.500
Pd9 Pd 0.500 0.500 0.840
# V: 184 Å³/cell
# Raw formation energy: -35 meV/atom
# Energy: -5.1546 eV per atom
# Crystal system: tetragonal
# SG: P4/mmm

---

# CaPr2H6Ru PBE relaxed
data_CaPr2H6Ru
_chemical_formula_sum 'Ca1 Pr2 H6 Ru1'
_symmetry_space_group_name_H-M 'P 1'
_symmetry_Int_Tables_number 1
_symmetry_space_group_name_Hall 'P 1'
_cell_length_a 5.050
_cell_length_b 5.050
_cell_length_c 6.469
_cell_angle_alpha 90.00
_cell_angle_beta 90.00
_cell_angle_gamma 120.00
loop_
_atom_site_label
_atom_site_type_symbol
_atom_site_fract_x
_atom_site_fract_y
_atom_site_fract_z
Ca1 Ca 0.000 0.000 0.000
Pr1 Pr 0.333 0.667 0.312
Pr2 Pr 0.667 0.333 0.688
H1 H 0.160 0.321 0.661
H2 H 0.160 0.840 0.661
H3 H 0.321 0.160 0.339
H4 H 0.679 0.840 0.661
H5 H 0.840 0.160 0.339
H6 H 0.840 0.679 0.339
Ru1 Ru 0.000 0.000 0.500
# V: 143 Å³/cell
# Energy: -4.4751 eV per atom
# Crystal system: trigonal
# SG: P-3m1

---

Respective DOS(E_F) values: 0.6202, 1.4775, 0.7343, 0.8159, 1.6484, 0.5503 states/eV per atom.